Entry from the Alexandria database: a geometry-optimized Cs2PdICl6 structure (PBE).

a b c (Å): 8.060 8.060 10.308
angles (deg): 90.00 90.00 90.00
Space group I4/mmm (No. 139)
Asymmetric unit:
1 Cs 0.000 0.500 0.250 x4
2 Pd 0.000 0.000 0.000 x2
3 I 0.000 0.000 0.500 x2
4 Cl 0.000 0.000 0.245 x4
5 Cl 0.208 0.208 0.000 x8

Summary:
* final energy: -2.978 eV/atom
* E_form (uncorrected): -10.25 eV per formula unit